FeHg2Te GGA-PBE optimized geometry; DOS(E_F) = 7.915 states/eV/cell; total magnetic moment = 0.67 μB per atom; E = -2.75 eV/atom
1.0
3.098 0.000 0.000
0.000 4.349 0.000
0.000 0.000 14.068
Fe Hg Te
2 4 2
Direct
0.000 0.000 0.000
0.500 0.500 0.500
0.000 0.500 0.314
0.000 0.500 0.686
0.500 0.000 0.186
0.500 0.000 0.814
0.000 0.000 0.500
0.500 0.500 0.000


FeHg2Te GGA-PBE optimized geometry; DOS(E_F) = 3.784 states/eV/cell; total magnetic moment = 0.72 μB per atom; E = -2.56 eV/atom
1.0
4.105 0.000 0.000
0.000 4.105 0.000
0.000 0.000 5.494
Fe Hg Te
1 2 1
Direct
0.000 0.000 0.000
0.500 0.500 0.242
0.500 0.500 0.758
0.000 0.000 0.500


FeHg2Te GGA-PBE optimized geometry; DOS(E_F) = 6.191 states/eV/cell; total magnetic moment = 0.04 μB per atom; E = -2.86 eV/atom
1.0
3.462 0.000 0.000
-1.731 2.998 0.000
0.000 0.000 27.496
Fe Hg Te
3 6 3
Direct
0.000 0.000 0.000
0.333 0.667 0.667
0.667 0.333 0.333
0.000 0.000 0.500
0.000 0.000 0.736
0.333 0.667 0.166
0.333 0.667 0.402
0.667 0.333 0.069
0.667 0.333 0.833
0.000 0.000 0.281
0.333 0.667 0.947
0.667 0.333 0.614


FeHgTe2 GGA-PBE optimized geometry; DOS(E_F) = 20.639 states/eV/cell; total magnetic moment = 0.83 μB per atom; E = -3.10 eV/atom
1.0
7.317 0.000 0.000
0.000 7.317 0.000
0.000 0.000 7.317
Fe Hg Te
4 4 8
Direct
0.000 0.000 0.000
0.000 0.500 0.500
0.500 0.000 0.500
0.500 0.500 0.000
0.250 0.250 0.250
0.250 0.750 0.750
0.750 0.250 0.750
0.750 0.750 0.250
0.000 0.000 0.500
0.000 0.500 0.000
0.250 0.250 0.750
0.250 0.750 0.250
0.500 0.000 0.000
0.500 0.500 0.500
0.750 0.250 0.250
0.750 0.750 0.750


- Which of these has the highest DOS(E_F)?
  FeHgTe2


- Among the records above, which one has the lowest total magnetic moment?
  number 3


- Which formula does entry 3 have?
  FeHg2Te